First-principles (meta-GGA SCAN) data for a PBEsol-optimized structure of LaBeOs, as listed in Alexandria.

```
data_LaBeOs
_space_group_name_H-M_alt 'I 4 m m'
_space_group_IT_number 107
_space_group_name_Hall 'I 4 -2'
_cell_length_a 3.1923
_cell_length_b 3.1923
_cell_length_c 10.0988
_cell_angle_alpha 90.00
_cell_angle_beta 90.00
_cell_angle_gamma 90.00
loop_
_atom_site_label
_atom_site_type_symbol
_atom_site_fract_x
_atom_site_fract_y
_atom_site_fract_z
_atom_site_occupancy
La1 La 0.0000 0.0000 0.0000 1
Be1 Be 0.0000 0.0000 0.2800 1
Os1 Os 0.0000 0.0000 0.7284 1
```

Results
Size of the total moment: 0.0 μB/cell
Calculated formation energy: -0.088 eV/atom

First-principles (meta-GGA SCAN) data for a PBEsol-optimized structure of Cu3OF5, as listed in Alexandria.

```
data_Cu3OF5
_space_group_name_H-M_alt 'P 1 21 1'
_space_group_IT_number 4
_space_group_name_Hall 'P 2yb'
_cell_length_a 5.5403
_cell_length_b 4.5707
_cell_length_c 7.5599
_cell_angle_alpha 90.00
_cell_angle_beta 91.69
_cell_angle_gamma 90.00
loop_
_atom_site_label
_atom_site_type_symbol
_atom_site_fract_x
_atom_site_fract_y
_atom_site_fract_z
_atom_site_occupancy
Cu1 Cu 0.0785 0.0000 0.3257 1
Cu2 Cu 0.2579 0.5089 0.9842 1
Cu3 Cu 0.4013 0.9610 0.6691 1
O1 O 0.2010 0.6781 0.7661 1
F1 F 0.0896 0.7972 0.0976 1
F2 F 0.1171 0.1901 0.5602 1
F3 F 0.2936 0.3020 0.2132 1
F4 F 0.3766 0.7837 0.4244 1
F5 F 0.4171 0.1923 0.8893 1
```

Results
Size of the total moment: 4.0 μB/cell
Energy above the lowest structure with this stoichiometry: 0.006 eV per atom
Formation energy without anion corrections: -1524 meV/atom

First-principles (meta-GGA SCAN) data for a PBEsol-optimized structure of NaLa6OsI12, as listed in Alexandria.

```
data_NaLa6OsI12
_space_group_name_H-M_alt 'R -3'
_space_group_IT_number 148
_space_group_name_Hall '-R 3'
_cell_length_a 15.9995
_cell_length_b 15.9995
_cell_length_c 11.0037
_cell_angle_alpha 90.00
_cell_angle_beta 90.00
_cell_angle_gamma 120.00
loop_
_atom_site_label
_atom_site_type_symbol
_atom_site_fract_x
_atom_site_fract_y
_atom_site_fract_z
_atom_site_occupancy
Na1 Na 0.0000 0.0000 0.0000 1
La1 La 0.0442 0.8820 0.3493 1
Os1 Os 0.0000 0.0000 0.5000 1
I1 I 0.0195 0.4326 0.1632 1
I2 I 0.0499 0.8679 0.8328 1
```

Results
Size of the total moment: 9.1 μB/cell
Formation energy without anion corrections: -1527 meV/atom

First-principles (meta-GGA SCAN) data for a PBEsol-optimized structure of CaB3As, as listed in Alexandria.

```
data_CaB3As
_space_group_name_H-M_alt 'P m -3 m'
_space_group_IT_number 221
_space_group_name_Hall '-P 4 2 3'
_cell_length_a 4.5557
_cell_length_b 4.5557
_cell_length_c 4.5557
_cell_angle_alpha 90.00
_cell_angle_beta 90.00
_cell_angle_gamma 90.00
loop_
_atom_site_label
_atom_site_type_symbol
_atom_site_fract_x
_atom_site_fract_y
_atom_site_fract_z
_atom_site_occupancy
Ca1 Ca 0.0000 0.0000 0.0000 1
B1 B 0.0000 0.0000 0.5000 1
As1 As 0.5000 0.5000 0.5000 1
```

Results
Size of the total moment: 0.3 μB/cell
Calculated formation energy: 2.833 eV/atom

First-principles (meta-GGA SCAN) data for a PBEsol-optimized structure of Hg6BiAs4Cl7, as listed in Alexandria.

```
data_Hg6BiAs4Cl7
_space_group_name_H-M_alt 'P a -3'
_space_group_IT_number 205
_space_group_name_Hall '-P 2ac 2ab 3'
_cell_length_a 12.1714
_cell_length_b 12.1714
_cell_length_c 12.1714
_cell_angle_alpha 90.00
_cell_angle_beta 90.00
_cell_angle_gamma 90.00
loop_
_atom_site_label
_atom_site_type_symbol
_atom_site_fract_x
_atom_site_fract_y
_atom_site_fract_z
_atom_site_occupancy
Hg1 Hg 0.0513 0.1801 0.6956 1
Bi1 Bi 0.0000 0.0000 0.0000 1
As1 As 0.1474 0.6474 0.8526 1
As2 As 0.2362 0.2362 0.2362 1
Cl1 Cl 0.0000 0.0000 0.5000 1
Cl2 Cl 0.0448 0.5532 0.2887 1
```

Results
Size of the total moment: 0.0 μB/cell
Formation energy without anion corrections: -539 meV/atom

First-principles (meta-GGA SCAN) data for a PBEsol-optimized structure of TmCuSi, as listed in Alexandria.

```
data_TmCuSi
_space_group_name_H-M_alt 'P -6 m 2'
_space_group_IT_number 187
_space_group_name_Hall 'P -6 2'
_cell_length_a 4.0695
_cell_length_b 4.0695
_cell_length_c 3.5797
_cell_angle_alpha 90.00
_cell_angle_beta 90.00
_cell_angle_gamma 120.00
loop_
_atom_site_label
_atom_site_type_symbol
_atom_site_fract_x
_atom_site_fract_y
_atom_site_fract_z
_atom_site_occupancy
Tm1 Tm 0.0000 0.0000 0.0000 1
Cu1 Cu 0.6667 0.3333 0.5000 1
Si1 Si 0.3333 0.6667 0.5000 1
```

Results
Size of the total moment: 0.0 μB/cell
Formation energy without anion corrections: -676 meV/atom

First-principles (meta-GGA SCAN) data for a PBEsol-optimized structure of Ca4P5Pd5, as listed in Alexandria.

```
data_Ca4P5Pd5
_space_group_name_H-M_alt 'C m c m'
_space_group_IT_number 63
_space_group_name_Hall '-C 2c 2'
_cell_length_a 4.0463
_cell_length_b 30.9389
_cell_length_c 8.1045
_cell_angle_alpha 90.00
_cell_angle_beta 90.00
_cell_angle_gamma 90.00
loop_
_atom_site_label
_atom_site_type_symbol
_atom_site_fract_x
_atom_site_fract_y
_atom_site_fract_z
_atom_site_occupancy
Ca1 Ca 0.0000 0.0794 0.0018 1
Ca2 Ca 0.0000 0.3061 0.5055 1
P1 P 0.0000 0.1580 0.2500 1
P2 P 0.0000 0.1576 0.7500 1
P3 P 0.0000 0.2291 0.7500 1
P4 P 0.0000 0.4541 0.2500 1
P5 P 0.0000 0.4552 0.7500 1
Pd1 Pd 0.0000 0.9996 0.2500 1
Pd2 Pd 0.0000 0.2346 0.2500 1
Pd3 Pd 0.0000 0.3789 0.2500 1
Pd4 Pd 0.0000 0.3806 0.7500 1
Pd5 Pd 0.0000 0.5000 0.0000 1
```

Results
Size of the total moment: 0.0 μB/cell
Calculated formation energy: -1.075 eV/atom

First-principles (meta-GGA SCAN) data for a PBEsol-optimized structure of K3Sr, as listed in Alexandria.

```
data_K3Sr
_space_group_name_H-M_alt 'P 1 2/m 1'
_space_group_IT_number 10
_space_group_name_Hall '-P 2y'
_cell_length_a 4.2914
_cell_length_b 7.1950
_cell_length_c 8.4018
_cell_angle_alpha 90.00
_cell_angle_beta 99.13
_cell_angle_gamma 90.00
loop_
_atom_site_label
_atom_site_type_symbol
_atom_site_fract_x
_atom_site_fract_y
_atom_site_fract_z
_atom_site_occupancy
K1 K 0.0000 0.0000 0.0000 1
K2 K 0.2003 0.5000 0.7440 1
Sr1 Sr 0.5000 0.0000 0.5000 1
```

Results
Size of the total moment: 0.1 μB/cell
Calculated formation energy: 0.087 eV/atom
Energy above the lowest structure with this stoichiometry: 0.039 eV per atom

First-principles (meta-GGA SCAN) data for a PBEsol-optimized structure of As2HSeF, as listed in Alexandria.

```
data_As2HSeF
_space_group_name_H-M_alt 'P 4/m m m'
_space_group_IT_number 123
_space_group_name_Hall '-P 4 2'
_cell_length_a 4.1213
_cell_length_b 4.1213
_cell_length_c 4.0976
_cell_angle_alpha 90.00
_cell_angle_beta 90.00
_cell_angle_gamma 90.00
loop_
_atom_site_label
_atom_site_type_symbol
_atom_site_fract_x
_atom_site_fract_y
_atom_site_fract_z
_atom_site_occupancy
As1 As 0.0000 0.5000 0.0000 1
H1 H 0.0000 0.0000 0.0000 1
Se1 Se 0.0000 0.0000 0.5000 1
F1 F 0.5000 0.5000 0.5000 1
```

Results
Size of the total moment: 0.0 μB/cell
DFT total energy: -13.218 eV per atom

First-principles (meta-GGA SCAN) data for a PBEsol-optimized structure of LiMg2Te, as listed in Alexandria.

```
data_LiMg2Te
_space_group_name_H-M_alt 'P 4 m m'
_space_group_IT_number 99
_space_group_name_Hall 'P 4 -2'
_cell_length_a 3.8297
_cell_length_b 3.8297
_cell_length_c 6.0843
_cell_angle_alpha 90.00
_cell_angle_beta 90.00
_cell_angle_gamma 90.00
loop_
_atom_site_label
_atom_site_type_symbol
_atom_site_fract_x
_atom_site_fract_y
_atom_site_fract_z
_atom_site_occupancy
Li1 Li 0.0000 0.0000 0.0000 1
Mg1 Mg 0.0000 0.0000 0.5130 1
Mg2 Mg 0.5000 0.5000 0.2535 1
Te1 Te 0.5000 0.5000 0.7670 1
```

Results
Size of the total moment: 0.0 μB/cell
Formation energy without anion corrections: -366 meV/atom